Material: TeMoPO2
Method: DFT, PBE+U
State: optimized geometry

E = -0.1889 Ha/atom
excess energy over the best structure of this formula in the dataset = 0.546 eV per atom

Unit cell a=3.9828 b=3.9828 c=5.4569 alpha=90.00 beta=90.00 gamma=90.00
Site moments in Bohr magnetons follow the coordinates.
Fractional positions:
1 Mo 0.5000 0.5000 0.5000  3.58
2 Te 0.0000 0.0000 0.0000  0.07
3 O 0.0000 0.5000 0.0000  0.05
4 O 0.5000 0.0000 0.0000  0.05
5 P 0.0000 0.0000 0.5000  -0.12